[1]
Material: PmThTlIn
Method: DFT, GGA-PBE
State: relaxed

a b c (Å): 5.493 5.493 5.493
angles (deg): 60.00 60.00 60.00
Atoms (fractional coordinates):
Tl  0.500  0.500  0.500
In  0.000  0.000  0.000
Th  0.750  0.750  0.750
Pm  0.250  0.250  0.250

Properties
- SG = No. 216
- D(E_F) (states/eV per atom) = 0.861
- total energy (eV/atom) = -4.580

=====

[2]
Material: SmMg2W3S8
Method: DFT, GGA-PBE
State: relaxed

a b c (Å): 7.215 7.215 7.557
angles (deg): 61.89 61.89 63.50
Site moments in Bohr magnetons follow the coordinates.
Atoms (fractional coordinates):
Sm  0.500  0.500  0.000  0.03
Mg  0.126  0.126  0.116  0.01
Mg  0.874  0.874  0.884  0.01
W  0.500  0.500  0.500  -1.43
W  0.500  0.000  0.500  1.62
W  0.000  0.500  0.500  1.62
S  0.253  0.253  0.720  0.00
S  0.765  0.765  0.696  0.01
S  0.269  0.746  0.720  0.00
S  0.746  0.269  0.720  0.00
S  0.731  0.254  0.280  0.00
S  0.254  0.731  0.280  0.00
S  0.747  0.747  0.280  0.00
S  0.235  0.235  0.304  0.01

Properties
- SG = No. 12
- D(E_F) (states/eV per atom) = 0.221
- total energy (eV/atom) = -6.445
- uncorrected formation energy (eV/atom) = -0.75

=====

[3]
Material: SrY2Sc
Method: DFT, GGA-PBE
State: relaxed

a b c (Å): 5.747 5.747 5.747
angles (deg): 60.00 60.00 60.00
Site moments in Bohr magnetons follow the coordinates.
Atoms (fractional coordinates):
Sc  0.500  0.500  0.500  0.07
Sr  0.750  0.750  0.750  0.01
Y  0.000  0.000  0.000  0.03
Y  0.250  0.250  0.250  0.05

Properties
- SG = No. 216
- D(E_F) (states/eV per atom) = 2.172
- total energy (eV/atom) = -4.946

=====

[4]
Material: AgS
Method: DFT, GGA-PBE
State: relaxed

a b c (Å): 4.846 4.440 11.734
angles (deg): 90.00 90.00 90.00
Atoms (fractional coordinates):
Ag  0.000  0.762  0.837
Ag  0.500  0.238  0.663
Ag  0.500  0.238  0.337
Ag  0.000  0.762  0.163
Ag  0.000  0.759  0.500
Ag  0.500  0.241  0.000
S  0.000  0.115  0.678
S  0.500  0.885  0.822
S  0.500  0.885  0.178
S  0.000  0.115  0.322
S  0.000  0.426  0.000
S  0.500  0.574  0.500

Properties
- SG = No. 59
- D(E_F) (states/eV per atom) = 0.508
- total energy (eV/atom) = -3.401
- uncorrected formation energy (eV/atom) = 0.09

=====

[5]
Material: ZrTeF2
Method: DFT, GGA-PBE
State: relaxed

a b c (Å): 4.489 4.489 4.489
angles (deg): 60.00 60.00 60.00
Atoms (fractional coordinates):
Te  0.500  0.500  0.500
Zr  0.000  0.000  0.000
F  0.250  0.250  0.250
F  0.750  0.750  0.750

Properties
- SG = No. 225
- D(E_F) (states/eV per atom) = 0.046
- total energy (eV/atom) = -5.339
- uncorrected formation energy (eV/atom) = -1.48

=====

[6]
Material: LiNdGa2Pd2
Method: DFT, GGA-PBE
State: relaxed

a b c (Å): 4.417 4.417 6.641
angles (deg): 90.00 90.00 120.00
Atoms (fractional coordinates):
Li  0.000  0.000  0.500
Nd  0.000  0.000  0.000
Ga  0.333  0.667  0.692
Ga  0.667  0.333  0.308
Pd  0.333  0.667  0.300
Pd  0.667  0.333  0.700

Properties
- SG = No. 164
- D(E_F) (states/eV per atom) = 0.597
- total energy (eV/atom) = -4.571

=====

[7]
Material: Rb2MgPbF6
Method: DFT, GGA-PBE
State: relaxed

a b c (Å): 6.319 6.319 6.318
angles (deg): 60.00 60.00 90.00
Atoms (fractional coordinates):
Pb  0.000  0.000  0.000
Mg  0.500  0.500  0.000
Rb  0.750  0.250  0.500
Rb  0.250  0.750  0.500
F  0.273  0.273  0.454
F  0.727  0.727  0.546
F  0.273  0.273  0.000
F  0.727  0.727  0.000
F  0.727  0.273  0.000
F  0.273  0.727  0.000

Properties
- SG = No. 225
- D(E_F) (states/eV per atom) = 0.000
- total energy (eV/atom) = -4.733
- uncorrected formation energy (eV/atom) = -2.89

=====

[8]
Material: Pm4DyMg7
Method: DFT, GGA-PBE
State: relaxed

a b c (Å): 5.731 11.003 6.439
angles (deg): 87.59 63.57 74.90
Atoms (fractional coordinates):
Pm  0.620  0.220  0.541
Pm  0.380  0.780  0.459
Pm  0.771  0.663  0.794
Pm  0.229  0.337  0.206
Dy  0.000  0.000  0.000
Mg  0.779  0.923  0.519
Mg  0.221  0.077  0.481
Mg  0.074  0.688  0.164
Mg  0.926  0.312  0.836
Mg  0.372  0.500  0.756
Mg  0.500  0.000  0.000
Mg  0.628  0.500  0.244

Properties
- SG = No. 12
- D(E_F) (states/eV per atom) = 1.166
- total energy (eV/atom) = -2.774

=====

[9]
Material: MnAgIN2
Method: DFT, GGA-PBE
State: relaxed

a b c (Å): 3.769 3.769 5.741
angles (deg): 90.00 90.00 90.00
Atoms (fractional coordinates):
I  0.000  0.000  0.500
Mn  0.000  0.000  0.000
Ag  0.500  0.500  0.500
N  0.000  0.500  0.000
N  0.500  0.000  0.000

Properties
- SG = No. 123
- D(E_F) (states/eV per atom) = 0.338
- total energy (eV/atom) = -5.216
- uncorrected formation energy (eV/atom) = 0.83

=====

[10]
Material: ZnGaSi2Pd
Method: DFT, GGA-PBE
State: relaxed

a b c (Å): 4.712 4.576 4.712
angles (deg): 90.00 90.00 90.00
Atoms (fractional coordinates):
Zn  0.000  0.500  0.000
Si  0.000  0.000  0.500
Si  0.500  0.000  0.000
Ga  0.000  0.000  0.000
Pd  0.500  0.500  0.500

Properties
- SG = No. 123
- D(E_F) (states/eV per atom) = 0.577
- total energy (eV/atom) = -3.222
- uncorrected formation energy (eV/atom) = 0.85

=====

[11]
Material: Sm2Y5Rh4
Method: DFT, GGA-PBE
State: relaxed

a b c (Å): 3.576 6.897 12.220
angles (deg): 87.64 98.41 90.00
Atoms (fractional coordinates):
Sm  0.914  0.652  0.828
Sm  0.086  0.348  0.172
Y  0.134  0.825  0.268
Y  0.866  0.175  0.732
Y  0.232  0.279  0.465
Y  0.500  0.000  0.000
Y  0.768  0.721  0.535
Rh  0.668  0.521  0.337
Rh  0.028  0.698  0.055
Rh  0.332  0.479  0.663
Rh  0.972  0.302  0.945

Properties
- SG = No. 12
- D(E_F) (states/eV per atom) = 0.805
- total energy (eV/atom) = -6.868

=====

[12]
Material: SrScW2C
Method: DFT, GGA-PBE
State: relaxed

a b c (Å): 4.225 5.152 4.225
angles (deg): 90.00 90.00 90.00
Atoms (fractional coordinates):
Sc  0.500  0.500  0.500
Sr  0.000  0.500  0.000
C  0.000  0.000  0.000
W  0.000  0.000  0.500
W  0.500  0.000  0.000

Properties
- SG = No. 123
- D(E_F) (states/eV per atom) = 0.958
- total energy (eV/atom) = -8.065

=====

[13]
Material: Cu2TcN2
Method: DFT, GGA-PBE
State: relaxed

a b c (Å): 5.514 5.514 3.769
angles (deg): 90.00 90.00 90.00
Atoms (fractional coordinates):
Tc  0.000  0.000  0.000
Tc  0.500  0.500  0.000
Cu  0.181  0.681  0.500
Cu  0.681  0.819  0.500
Cu  0.819  0.319  0.500
Cu  0.319  0.181  0.500
N  0.196  0.696  0.000
N  0.696  0.804  0.000
N  0.804  0.304  0.000
N  0.304  0.196  0.000

Properties
- SG = No. 127
- D(E_F) (states/eV per atom) = 0.513
- total energy (eV/atom) = -6.698
- uncorrected formation energy (eV/atom) = 0.34

=====

[14]
Material: Cu2HgBr
Method: DFT, GGA-PBE
State: relaxed

a b c (Å): 4.753 4.753 4.753
angles (deg): 60.00 60.00 60.00
Atoms (fractional coordinates):
Cu  0.250  0.250  0.250
Cu  0.750  0.750  0.750
Hg  0.500  0.500  0.500
Br  0.000  0.000  0.000

Properties
- SG = No. 225
- D(E_F) (states/eV per atom) = 0.264
- total energy (eV/atom) = -2.122
- uncorrected formation energy (eV/atom) = 0.42

=====

[15]
Material: KGe2BS6
Method: DFT, GGA-PBE
State: relaxed

a b c (Å): 6.860 9.160 9.160
angles (deg): 92.16 70.96 70.96
Atoms (fractional coordinates):
K  0.250  0.893  0.107
K  0.750  0.107  0.893
Ge  0.384  0.780  0.606
Ge  0.116  0.394  0.220
Ge  0.616  0.220  0.394
Ge  0.884  0.606  0.780
B  0.250  0.228  0.772
B  0.750  0.772  0.228
S  0.259  0.009  0.776
S  0.241  0.224  0.991
S  0.741  0.991  0.224
S  0.759  0.776  0.009
S  0.489  0.741  0.343
S  0.011  0.657  0.259
S  0.511  0.259  0.657
S  0.989  0.343  0.741
S  0.064  0.736  0.612
S  0.436  0.388  0.264
S  0.936  0.264  0.388
S  0.564  0.612  0.736

Properties
- SG = No. 15
- total energy (eV/atom) = -4.555
- uncorrected formation energy (eV/atom) = -0.38

=====

[16]
Material: Nb3FeI
Method: DFT, GGA-PBE
State: relaxed

a b c (Å): 4.705 4.705 4.705
angles (deg): 90.00 90.00 90.00
Atoms (fractional coordinates):
I  0.500  0.500  0.500
Nb  0.000  0.500  0.000
Nb  0.000  0.000  0.500
Nb  0.500  0.000  0.000
Fe  0.000  0.000  0.000

Properties
- SG = No. 221
- D(E_F) (states/eV per atom) = 1.729
- total energy (eV/atom) = -7.170
- uncorrected formation energy (eV/atom) = 0.87

=====

[17]
Material: Na2NdAu3
Method: DFT, GGA-PBE
State: relaxed

a b c (Å): 5.098 5.098 12.431
angles (deg): 90.00 90.00 120.00
Atoms (fractional coordinates):
Na  0.000  0.000  0.500
Na  0.333  0.667  0.153
Na  0.667  0.333  0.847
Na  0.000  0.000  0.000
Nd  0.333  0.667  0.666
Nd  0.667  0.333  0.334
Au  0.333  0.667  0.409
Au  0.667  0.333  0.092
Au  0.000  0.000  0.747
Au  0.000  0.000  0.253
Au  0.333  0.667  0.908
Au  0.667  0.333  0.591

Properties
- SG = No. 164
- D(E_F) (states/eV per atom) = 0.639
- total energy (eV/atom) = -3.369

=====

[18]
Material: Dy5TmIn2
Method: DFT, GGA-PBE
State: relaxed

a b c (Å): 3.516 8.433 8.433
angles (deg): 77.43 77.97 77.97
Atoms (fractional coordinates):
Dy  0.000  0.500  0.500
Dy  0.633  0.595  0.138
Dy  0.367  0.405  0.862
Dy  0.367  0.862  0.405
Dy  0.633  0.138  0.595
Tm  0.000  0.000  0.000
In  0.739  0.761  0.761
In  0.261  0.239  0.239

Properties
- SG = No. 71
- D(E_F) (states/eV per atom) = 1.348
- total energy (eV/atom) = -4.276

=====

[19]
Material: BaGa2GeW
Method: DFT, GGA-PBE
State: relaxed

a b c (Å): 5.030 5.030 4.946
angles (deg): 90.00 90.00 90.00
Atoms (fractional coordinates):
Ge  0.000  0.000  0.500
Ga  0.000  0.500  0.000
Ga  0.500  0.000  0.000
Ba  0.500  0.500  0.500
W  0.000  0.000  0.000

Properties
- SG = No. 123
- D(E_F) (states/eV per atom) = 0.300
- total energy (eV/atom) = -5.323

=====

[20]
Material: DyMgGaIr
Method: DFT, GGA-PBE
State: relaxed

a b c (Å): 4.754 4.754 4.754
angles (deg): 60.00 60.00 60.00
Atoms (fractional coordinates):
Mg  0.500  0.500  0.500
Ir  0.750  0.750  0.750
Ga  0.250  0.250  0.250
Dy  0.000  0.000  0.000

Properties
- SG = No. 216
- D(E_F) (states/eV per atom) = 0.560
- total energy (eV/atom) = -5.010